1.
This record from the Alexandria database describes BaFe2Br7 after structural relaxation. The functional is PBE.

Computed properties:
Raw total energy in eV/atom: -3.912

Geometry as POSCAR:
```
BaFe2Br7
1.0
-3.810 -3.450 0.083
1.605 -1.985 -8.821
5.482 -5.950 4.344
Br Fe Ba
7 2 1
direct
0.500 0.981 0.717
0.500 0.019 0.283
0.500 0.500 0.500
0.000 0.707 0.707
0.500 0.283 0.019
0.000 0.293 0.293
0.500 0.717 0.981
0.500 0.284 0.284
0.500 0.716 0.716
0.000 0.000 0.000
```


2.
This record from the Alexandria database describes RbHg6 after structural relaxation. The functional is PBE.

Computed properties:
Energy above the most stable polymorph in this dataset in meV/atom: 197
DFT formation energy in meV/atom: 68

Geometry as POSCAR:
```
RbHg6
1.0
-7.375 -1.075 0.922
-0.207 -4.019 -6.340
1.401 -6.252 3.917
Hg Rb
6 1
direct
0.500 0.197 0.500
0.500 0.803 0.500
0.803 0.500 0.500
0.500 0.500 0.197
0.500 0.500 0.803
0.197 0.500 0.500
0.000 0.000 0.000
```


3.
This record from the Alexandria database describes SiAsOs2 after structural relaxation. The functional is PBE.

Computed properties:
Energy above the most stable polymorph in this dataset in meV/atom: 328

Geometry as POSCAR:
```
SiAsOs2
1.0
5.226 0.033 -0.004
2.308 4.689 0.004
-3.104 -3.420 2.447
Os As Si
2 1 1
direct
0.534 0.534 0.000
0.966 0.966 0.000
0.250 0.750 0.500
0.750 0.250 0.500
```